(1)
Material: RbBePd2
Method: DFT, PBEsol
State: optimized geometry

Formation energy from the elements: 264 meV per atom
Electronic total energy: -3.972 eV/atom
SG: I-42d, No. 122

Structure (extended XYZ):
```
8
Lattice="-1.2133 0.3639 5.0400 5.0212 -0.4946 1.2444 -1.1301 7.1110 -3.4646" Properties=species:S:1:pos:R:3 pbc="T T T"
Pd 0.4898 5.3543 1.0709
Pd 0.7907 1.8351 2.9640
Pd 0.6710 5.2143 -1.5545
Pd 3.4042 1.5570 3.1592
Be -0.2197 3.7048 2.3588
Be 1.9040 -0.0653 3.1422
Rb 0.0000 0.0000 0.0000
Rb 2.8975 3.2756 0.4610
```

=====

(2)
Material: BeRePd3
Method: DFT, PBEsol
State: optimized geometry

Formation energy from the elements: 590 meV per atom
Electronic total energy: -6.452 eV/atom
Offset from the most stable computed form: 0.0 kJ/mol of atoms
SG: Pm-3m, No. 221

Structure (extended XYZ):
```
5
Lattice="-0.5467 -2.3811 3.3277 3.9092 0.6880 1.1346 -1.2090 3.3014 2.1636" Properties=species:S:1:pos:R:3 pbc="T T T"
Pd -0.2734 -1.1905 1.6639
Pd 1.9546 0.3440 0.5673
Pd -0.6045 1.6507 1.0818
Re 1.0767 0.8042 3.3129
Be 0.0000 0.0000 0.0000
```

=====

(3)
Material: BeRePd3
Method: DFT, PBEsol
State: optimized geometry

Formation energy from the elements: 1703 meV per atom
Electronic total energy: -5.339 eV/atom
Offset from the most stable computed form: 107.4 kJ/mol of atoms
SG: Pm-3m, No. 221

Structure (extended XYZ):
```
5
Lattice="-3.0361 3.3093 -1.4243 -2.2789 -0.3213 4.1112 2.7905 3.3382 1.8077" Properties=species:S:1:pos:R:3 pbc="T T T"
Pd -1.5180 1.6547 -0.7122
Pd -1.1394 -0.1606 2.0556
Pd 1.3953 1.6691 0.9039
Re 0.0000 0.0000 0.0000
Be -1.2622 3.1631 2.2473
```

=====

(4)
Material: Be2PdRh
Method: DFT, PBEsol
State: optimized geometry

Formation energy from the elements: -674 meV per atom
Electronic total energy: -6.198 eV/atom
SG: Fm-3m, No. 225

Structure (extended XYZ):
```
4
Lattice="-1.5188 0.8440 -3.5080 -3.8525 -0.3501 -0.6006 -2.2083 3.1997 -0.4584" Properties=species:S:1:pos:R:3 pbc="T T T"
Be -5.6847 2.7702 -3.4252
Be -1.8949 0.9234 -1.1417
Pd -3.7898 1.8468 -2.2834
Rh 0.0000 0.0000 0.0000
```

=====

(5)
Material: Be2PdRh2
Method: DFT, PBEsol
State: optimized geometry

Formation energy from the elements: -433 meV per atom
Electronic total energy: -6.480 eV/atom
SG: P4/mbm, No. 127

Structure (extended XYZ):
```
10
Lattice="-0.3919 -2.3027 -1.6372 6.2016 -0.4275 -0.8833 0.4677 -3.6809 5.0651" Properties=species:S:1:pos:R:3 pbc="T T T"
Be 3.9698 -0.7491 0.1032
Be 5.6883 -2.6919 2.4243
Be 2.6995 -3.3593 4.0786
Be 0.9810 -1.4165 1.7575
Rh 5.1474 -2.7466 0.1459
Rh 4.3115 -4.5133 2.8308
Rh 1.1300 -3.6646 2.3987
Rh 1.9659 -1.8979 -0.2862
Pd 3.3347 -2.0542 2.0909
Pd 0.0000 0.0000 0.0000
```

=====

(6)
Material: ZrBeSb2Pd
Method: DFT, PBEsol
State: optimized geometry

Uncorrected formation energy: 0.2 eV per formula unit
Electronic total energy: -5.585 eV/atom
SG: P4/mmm, No. 123

Structure (extended XYZ):
```
5
Lattice="4.0765 0.0000 0.0000 0.0000 4.8866 0.0000 0.0000 0.0000 4.8866" Properties=species:S:1:pos:R:3 pbc="T T T"
Sb 0.0000 0.0000 2.4433
Sb 0.0000 2.4433 0.0000
Pd 2.0382 0.0000 0.0000
Be 0.0000 0.0000 0.0000
Zr 2.0382 2.4433 2.4433
```

=====

(7)
Material: ScBePd3
Method: DFT, PBEsol
State: optimized geometry

Formation energy from the elements: -545 meV per atom
Electronic total energy: -6.242 eV/atom
Offset from the most stable computed form: 0.0 kJ/mol of atoms
SG: Pm-3m, No. 221

Structure (extended XYZ):
```
5
Lattice="-0.6883 2.8497 -3.0197 2.8968 -1.8633 -2.4187 -2.9746 -2.4739 -1.6567" Properties=species:S:1:pos:R:3 pbc="T T T"
Pd -1.4873 -1.2370 -0.8284
Pd -0.3441 1.4249 -1.5098
Pd 1.4484 -0.9316 -1.2093
Sc -0.3830 -0.7437 -3.5475
Be 0.0000 0.0000 0.0000
```

=====

(8)
Material: ScBePd3
Method: DFT, PBEsol
State: optimized geometry

Formation energy from the elements: 818 meV per atom
Electronic total energy: -4.878 eV/atom
Offset from the most stable computed form: 131.5 kJ/mol of atoms
SG: Pm-3m, No. 221

Structure (extended XYZ):
```
5
Lattice="-2.8629 -2.9128 2.1737 -0.0326 -2.7464 -3.7232 3.6343 -2.3192 1.6789" Properties=species:S:1:pos:R:3 pbc="T T T"
Be 0.3694 -3.9892 0.0647
Pd -0.0163 -1.3732 -1.8616
Pd -1.4315 -1.4564 1.0868
Pd 1.8172 -1.1596 0.8395
Sc 0.0000 0.0000 0.0000
```

=====

(9)
Material: Be3PdSe
Method: DFT, PBEsol
State: optimized geometry

Uncorrected formation energy: 4.2 eV per formula unit
Electronic total energy: -3.523 eV/atom
SG: Pm-3m, No. 221

Structure (extended XYZ):
```
5
Lattice="-2.3852 -3.2255 -1.1257 3.0206 -1.3498 -2.5326 1.5959 -2.2659 3.1111" Properties=species:S:1:pos:R:3 pbc="T T T"
Se 0.0000 0.0000 0.0000
Be 1.5103 -0.6749 -1.2663
Be -1.1926 -1.6127 -0.5628
Be 0.7980 -1.1329 1.5555
Pd 1.1157 -3.4206 -0.2736
```

=====

(10)
Material: SrBe2SiPd
Method: DFT, PBEsol
State: optimized geometry

Uncorrected formation energy: 2.6 eV per formula unit
Electronic total energy: -3.780 eV/atom
SG: P4/mmm, No. 123

Structure (extended XYZ):
```
5
Lattice="4.2005 0.0000 0.0000 0.0000 4.2005 0.0000 0.0000 0.0000 5.9079" Properties=species:S:1:pos:R:3 pbc="T T T"
Si 0.0000 0.0000 0.0000
Sr 0.0000 0.0000 2.9539
Pd 2.1003 2.1003 2.9539
Be 2.1003 0.0000 0.0000
Be 0.0000 2.1003 0.0000
```

=====

(11)
Material: TaBePd3
Method: DFT, PBEsol
State: optimized geometry

Formation energy from the elements: 118 meV per atom
Electronic total energy: -6.768 eV/atom
SG: Pm-3m, No. 221

Structure (extended XYZ):
```
5
Lattice="4.1639 0.0000 0.0000 0.0000 4.1639 0.0000 0.0000 0.0000 4.1639" Properties=species:S:1:pos:R:3 pbc="T T T"
Be 0.0000 0.0000 0.0000
Pd 0.0000 2.0819 0.0000
Pd 0.0000 0.0000 2.0819
Pd 2.0819 0.0000 0.0000
Ta 2.0819 2.0819 2.0819
```

=====

(12)
Material: BeTl2TcPd
Method: DFT, PBEsol
State: optimized geometry

Formation energy from the elements: 775 meV per atom
Electronic total energy: -4.523 eV/atom
SG: P4/mmm, No. 123

Structure (extended XYZ):
```
5
Lattice="4.1004 0.0000 0.0000 0.0000 4.6206 0.0000 0.0000 0.0000 4.6206" Properties=species:S:1:pos:R:3 pbc="T T T"
Tc 2.0502 0.0000 0.0000
Tl 0.0000 2.3103 0.0000
Tl 0.0000 0.0000 2.3103
Pd 2.0502 2.3103 2.3103
Be 0.0000 0.0000 0.0000
```

=====

(13)
Material: Ti2Be2Pd
Method: DFT, PBEsol
State: optimized geometry

Formation energy from the elements: -377 meV per atom
Electronic total energy: -6.498 eV/atom
SG: P4/mbm, No. 127

Structure (extended XYZ):
```
10
Lattice="-2.3543 -2.1709 -0.9626 0.7829 -3.1507 5.1908 -4.2768 3.4292 2.7265" Properties=species:S:1:pos:R:3 pbc="T T T"
Pd 0.0000 0.0000 0.0000
Pd -1.7469 0.1393 3.9587
Ti -1.9415 -2.5686 4.7331
Ti -3.9067 0.6763 2.2216
Ti -1.6419 -1.5474 1.6971
Ti -4.2064 -0.3449 5.2576
Be -1.9949 -0.6046 6.2427
Be -1.4990 0.8831 1.6747
Be -0.0501 -1.5401 3.5959
Be -3.4438 1.8187 4.3214
```

=====

(14)
Material: YBePd3
Method: DFT, PBEsol
State: optimized geometry

Formation energy from the elements: 1095 meV per atom
Electronic total energy: -4.645 eV/atom
Offset from the most stable computed form: 169.7 kJ/mol of atoms
SG: Pm-3m, No. 221

Structure (extended XYZ):
```
5
Lattice="4.8730 0.0000 0.0000 0.0000 4.8730 0.0000 0.0000 0.0000 4.8730" Properties=species:S:1:pos:R:3 pbc="T T T"
Pd 0.0000 0.0000 2.4365
Pd 0.0000 2.4365 0.0000
Pd 2.4365 0.0000 0.0000
Y 0.0000 0.0000 0.0000
Be 2.4365 2.4365 2.4365
```

=====

(15)
Material: YBePd3
Method: DFT, PBEsol
State: optimized geometry

Formation energy from the elements: -663 meV per atom
Electronic total energy: -6.403 eV/atom
Offset from the most stable computed form: 0.0 kJ/mol of atoms
SG: Pm-3m, No. 221

Structure (extended XYZ):
```
5
Lattice="-0.7667 1.3471 -4.0099 -1.9682 -3.7209 -0.8736 -3.7444 1.6800 1.2803" Properties=species:S:1:pos:R:3 pbc="T T T"
Y -3.2396 -0.3469 -1.8016
Pd -0.3833 0.6735 -2.0050
Pd -1.8722 0.8400 0.6401
Pd -0.9841 -1.8604 -0.4368
Be 0.0000 0.0000 0.0000
```

=====

(16)
Material: YBe3Pd
Method: DFT, PBEsol
State: optimized geometry

Formation energy from the elements: -95 meV per atom
Electronic total energy: -5.051 eV/atom
SG: Pm-3m, No. 221

Structure (extended XYZ):
```
5
Lattice="4.2287 0.0000 0.0000 0.0000 4.2287 0.0000 0.0000 0.0000 4.2287" Properties=species:S:1:pos:R:3 pbc="T T T"
Be 2.1143 0.0000 0.0000
Be 0.0000 2.1143 0.0000
Be 0.0000 0.0000 2.1143
Y 2.1143 2.1143 2.1143
Pd 0.0000 0.0000 0.0000
```

=====

(17)
Material: YBe2Pd2
Method: DFT, PBEsol
State: optimized geometry

Formation energy from the elements: -559 meV per atom
Electronic total energy: -5.907 eV/atom
SG: I4/mmm, No. 139

Structure (extended XYZ):
```
5
Lattice="-1.2441 2.1842 -3.0123 -3.6908 -0.3219 1.2909 3.0578 3.1284 3.5605" Properties=species:S:1:pos:R:3 pbc="T T T"
Y 0.0000 0.0000 0.0000
Pd 0.4308 2.9623 1.9701
Pd -2.3079 2.0284 -0.1309
Be -0.3269 3.1219 -0.1562
Be -1.5503 1.8688 1.9954
```

=====

(18)
Material: BeZnPd2
Method: DFT, PBEsol
State: optimized geometry

Formation energy from the elements: -235 meV per atom
Electronic total energy: -4.610 eV/atom
Offset from the most stable computed form: 27.5 kJ/mol of atoms
SG: I-42d, No. 122

Structure (extended XYZ):
```
8
Lattice="-1.2405 -1.5907 4.8169 -3.5841 -0.2576 -3.7894 3.7922 -3.2455 -1.5354" Properties=species:S:1:pos:R:3 pbc="T T T"
Pd 1.2443 -4.5095 1.1060
Pd 1.3027 -2.0164 -0.8865
Pd -3.4828 -1.0464 -1.3570
Pd -1.1289 -2.6154 0.1217
Zn -1.1021 -2.2137 -2.4055
Zn 0.0000 0.0000 0.0000
Be -2.4123 -0.9242 0.5138
Be 0.0697 -2.8802 1.8976
```

=====

(19)
Material: Be3ZnPd
Method: DFT, PBEsol
State: optimized geometry

Formation energy from the elements: 703 meV per atom
Electronic total energy: -3.205 eV/atom
SG: Pm-3m, No. 221

Structure (extended XYZ):
```
5
Lattice="3.9889 0.0000 0.0000 0.0000 3.9889 0.0000 0.0000 0.0000 3.9889" Properties=species:S:1:pos:R:3 pbc="T T T"
Zn 0.0000 0.0000 0.0000
Pd 1.9945 1.9945 1.9945
Be 0.0000 1.9945 0.0000
Be 0.0000 0.0000 1.9945
Be 1.9945 0.0000 0.0000
```

=====

(20)
Material: Be2ZnPd2
Method: DFT, PBEsol
State: optimized geometry

Formation energy from the elements: -493 meV per atom
Electronic total energy: -4.793 eV/atom
Offset from the most stable computed form: 0.0 kJ/mol of atoms
SG: P4/mbm, No. 127

Structure (extended XYZ):
```
10
Lattice="2.7527 0.0000 0.0000 0.0000 6.4836 0.0000 0.0000 0.0000 6.4836" Properties=species:S:1:pos:R:3 pbc="T T T"
Zn 0.0000 0.0000 0.0000
Zn 0.0000 3.2418 3.2418
Pd 1.3764 1.0901 4.3318
Pd 1.3764 5.3935 2.1517
Pd 1.3764 4.3318 5.3935
Pd 1.3764 2.1517 1.0901
Be 0.0000 2.4292 5.6710
Be 0.0000 4.0543 0.8126
Be 0.0000 5.6710 4.0543
Be 0.0000 0.8126 2.4292
```